First-principles (PBE) data for a geometry-optimized HfAlRu2 structure, as listed in Alexandria.

Geometry as POSCAR:
```
HfAlRu2
1.0
3.1564 0.0000 0.0000
0.0000 3.1564 0.0000
0.0000 0.0000 6.1657
Hf Al Ru
1 1 2
direct
0.0000 0.0000 0.0000
0.0000 0.0000 0.5000
0.5000 0.5000 0.2639
0.5000 0.5000 0.7361
```

## Properties
Calculated volume in Å³/atom: 15.36
Energy in eV/atom: -8.81
Symmetry: No. 123
Magnetization in μB/f.u.: 0.00